A plane-wave DFT calculation with PBE with a Hubbard U was carried out for Na2Li2NiF6 after structural relaxation.

Output
* uncorrected energy: -4.482 eV per atom

abc: 5.143 5.143 5.367
angles: 90.00 90.00 120.00
Each line ends with the local moment (μB).
Fractional coordinates of all 11 atoms:
Li 0.667 0.333 0.000  0.00
Ni 0.000 0.000 0.000  1.80
Li 0.333 0.667 0.000  0.00
F 0.334 0.000 0.792  0.02
F 0.000 0.334 0.792  0.02
F 0.666 0.000 0.208  0.02
F 0.334 0.334 0.208  0.02
Na 0.333 0.667 0.500  0.00
F 0.666 0.666 0.792  0.02
Na 0.667 0.333 0.500  0.00
F 0.000 0.666 0.208  0.02